Here is a relaxed UTi4S8 crystal from Alexandria via LeMat-Bulk. Energies are from GGA-PBE.

Calculated values
Size of the total moment, μB per cell: 4.59
D(E_F), states/eV/f.u.: 16.5
Space-group type: No. 216
Offset from the most stable computed form, eV per atom: 0.209

Lattice parameters (Å, degrees): 7.302 7.302 7.302 60.00 60.00 60.00
Last column: magnetic moment on the atom in μB.
Fractional coordinates of all 13 atoms:
1 S 0.606 0.606 0.606  -0.03
2 S 0.127 0.127 0.620  -0.01
3 S 0.606 0.182 0.606  -0.03
4 S 0.127 0.620 0.127  -0.01
5 S 0.620 0.127 0.127  -0.01
6 S 0.127 0.127 0.127  -0.01
7 S 0.182 0.606 0.606  -0.03
8 S 0.606 0.606 0.182  -0.03
9 Ti 0.924 0.359 0.359  0.49
10 Ti 0.359 0.924 0.359  0.49
11 Ti 0.359 0.359 0.359  0.49
12 Ti 0.359 0.359 0.924  0.49
13 U 0.750 0.750 0.750  2.26

---

Here is a relaxed ScZn2Ni crystal from Alexandria via LeMat-Bulk. Energies are from GGA-PBE.

Calculated values
Size of the total moment, μB per cell: 0.00
D(E_F), states/eV/f.u.: 3.5
Space-group type: No. 166
Formation energy, eV/atom: -0.017

Lattice parameters (Å, degrees): 8.575 8.575 8.575 20.02 20.02 20.02
Fractional coordinates of all 4 atoms:
1 Zn 0.511 0.511 0.511
2 Zn 0.989 0.989 0.989
3 Ni 0.250 0.250 0.250
4 Sc 0.750 0.750 0.750

---

Here is a relaxed KMn2CdSn crystal from Alexandria via LeMat-Bulk. Energies are from GGA-PBE.

Calculated values
Size of the total moment, μB per cell: 8.90
D(E_F), states/eV/f.u.: 2.0
Space-group type: No. 123
Formation energy, eV/atom: 0.772

Lattice parameters (Å, degrees): 5.441 5.441 6.832 90.00 90.00 90.00
Last column: magnetic moment on the atom in μB.
Fractional coordinates of all 5 atoms:
1 Cd 0.500 0.500 0.500  -0.01
2 Mn 0.000 0.500 0.000  -4.15
3 Mn 0.500 0.000 0.000  -4.15
4 Sn 0.000 0.000 0.000  0.12
5 K 0.000 0.000 0.500  0.00

---

Here is a relaxed BeGa3Mo crystal from Alexandria via LeMat-Bulk. Energies are from GGA-PBE.

Calculated values
Size of the total moment, μB per cell: 2.97
D(E_F), states/eV/f.u.: 2.8
Space-group type: No. 221
Offset from the most stable computed form, eV per atom: 0.000
Formation energy, eV/atom: 0.765

Lattice parameters (Å, degrees): 4.376 4.376 4.376 90.00 90.00 90.00
Last column: magnetic moment on the atom in μB.
Fractional coordinates of all 5 atoms:
1 Ga 0.000 0.500 0.000  -0.02
2 Ga 0.000 0.000 0.500  0.00
3 Ga 0.500 0.000 0.000  -0.02
4 Be 0.000 0.000 0.000  0.07
5 Mo 0.500 0.500 0.500  2.58

---

Here is a relaxed PmSm2NbN4 crystal from Alexandria via LeMat-Bulk. Energies are from GGA-PBE.

Calculated values
Size of the total moment, μB per cell: 0.00
D(E_F), states/eV/f.u.: 2.5
Space-group type: No. 63
Electronic total energy, eV per atom: -8.3464

Lattice parameters (Å, degrees): 3.458 6.289 12.399 90.00 90.00 105.96
Fractional coordinates of all 16 atoms:
1 N 0.264 0.527 0.372
2 N 0.264 0.527 0.128
3 N 0.000 0.000 0.000
4 N 0.736 0.473 0.872
5 N 0.000 0.000 0.500
6 N 0.447 0.894 0.750
7 N 0.736 0.473 0.628
8 N 0.553 0.106 0.250
9 Nb 0.160 0.321 0.250
10 Nb 0.840 0.679 0.750
11 Sm 0.369 0.739 0.965
12 Sm 0.631 0.261 0.465
13 Sm 0.631 0.261 0.035
14 Sm 0.369 0.739 0.535
15 Pm 0.101 0.202 0.750
16 Pm 0.899 0.798 0.250

---

Here is a relaxed NpVTe2 crystal from Alexandria via LeMat-Bulk. Energies are from GGA-PBE.

Calculated values
Size of the total moment, μB per cell: 7.75
D(E_F), states/eV/f.u.: 7.6
Space-group type: No. 123
Offset from the most stable computed form, eV per atom: 0.000

Lattice parameters (Å, degrees): 3.606 3.606 7.373 90.00 90.00 90.00
Last column: magnetic moment on the atom in μB.
Fractional coordinates of all 4 atoms:
1 Te 0.000 0.000 0.765  -0.14
2 Te 0.000 0.000 0.235  -0.14
3 V 0.500 0.500 0.000  2.66
4 Np 0.500 0.500 0.500  4.30

---

Here is a relaxed PrCdBr crystal from Alexandria via LeMat-Bulk. Energies are from GGA-PBE.

Calculated values
Size of the total moment, μB per cell: 0.00
D(E_F), states/eV/f.u.: 2.5
Space-group type: No. 12
Electronic total energy, eV per atom: -3.3739

Lattice parameters (Å, degrees): 4.476 4.476 11.738 88.45 88.45 60.06
Fractional coordinates of all 6 atoms:
1 Br 0.317 0.317 0.849
2 Br 0.683 0.683 0.151
3 Pr 0.010 0.010 0.296
4 Pr 0.990 0.990 0.704
5 Cd 0.335 0.335 0.463
6 Cd 0.665 0.665 0.537

---

Here is a relaxed Dy2AgHg8 crystal from Alexandria via LeMat-Bulk. Energies are from GGA-PBE.

Calculated values
Size of the total moment, μB per cell: 0.00
D(E_F), states/eV/f.u.: 7.0
Space-group type: No. 123
Formation energy, eV/atom: -0.228

Lattice parameters (Å, degrees): 4.859 4.859 11.422 90.00 90.00 90.00
Fractional coordinates of all 11 atoms:
1 Hg 0.000 0.500 0.862
2 Hg 0.500 0.500 0.678
3 Hg 0.500 0.000 0.862
4 Hg 0.500 0.000 0.500
5 Hg 0.500 0.000 0.138
6 Hg 0.500 0.500 0.322
7 Hg 0.000 0.500 0.138
8 Hg 0.000 0.500 0.500
9 Dy 0.000 0.000 0.313
10 Dy 0.000 0.000 0.687
11 Ag 0.000 0.000 0.000

---

Here is a relaxed Ac6CoPd2I2 crystal from Alexandria via LeMat-Bulk. Energies are from GGA-PBE.

Calculated values
Size of the total moment, μB per cell: 0.00
D(E_F), states/eV/f.u.: 7.0
Space-group type: No. 12
Electronic total energy, eV per atom: -4.8009

Lattice parameters (Å, degrees): 7.681 7.681 8.842 98.44 98.44 120.50
Fractional coordinates of all 11 atoms:
1 I 0.169 0.831 0.000
2 I 0.831 0.169 0.000
3 Ac 0.931 0.619 0.312
4 Ac 0.381 0.069 0.688
5 Ac 0.742 0.742 0.689
6 Ac 0.069 0.381 0.688
7 Ac 0.258 0.258 0.311
8 Ac 0.619 0.931 0.312
9 Co 0.000 0.000 0.500
10 Pd 0.330 0.670 0.500
11 Pd 0.670 0.330 0.500

---

Here is a relaxed EuY2Al crystal from Alexandria via LeMat-Bulk. Energies are from GGA-PBE.

Calculated values
Size of the total moment, μB per cell: 7.41
D(E_F), states/eV/f.u.: 4.6
Space-group type: No. 225
Offset from the most stable computed form, eV per atom: 0.123
Formation energy, eV/atom: -0.040

Lattice parameters (Å, degrees): 5.423 5.423 5.423 60.00 60.00 60.00
Last column: magnetic moment on the atom in μB.
Fractional coordinates of all 4 atoms:
1 Al 0.500 0.500 0.500  -0.02
2 Y 0.250 0.250 0.250  0.10
3 Y 0.750 0.750 0.750  0.10
4 Eu 0.000 0.000 0.000  6.88

---

Here is a relaxed TaCrAsBr2 crystal from Alexandria via LeMat-Bulk. Energies are from GGA-PBE.

Calculated values
Size of the total moment, μB per cell: 5.97
D(E_F), states/eV/f.u.: 4.2
Space-group type: No. 123
Offset from the most stable computed form, eV per atom: 0.441

Lattice parameters (Å, degrees): 4.859 4.859 5.055 90.00 90.00 90.00
Last column: magnetic moment on the atom in μB.
Fractional coordinates of all 5 atoms:
1 As 0.000 0.000 0.500  -0.26
2 Br 0.500 0.000 0.000  -0.03
3 Br 0.000 0.500 0.000  -0.03
4 Ta 0.500 0.500 0.500  2.01
5 Cr 0.000 0.000 0.000  3.21

---

Here is a relaxed La4Sm15Th crystal from Alexandria via LeMat-Bulk. Energies are from GGA-PBE.

Calculated values
Size of the total moment, μB per cell: 0.00
D(E_F), states/eV/f.u.: 31.1
Space-group type: No. 123
Formation energy, eV/atom: 0.025

Lattice parameters (Å, degrees): 5.174 5.174 25.758 90.00 90.00 90.00
Fractional coordinates of all 20 atoms:
1 Sm 0.000 0.500 0.500
2 Sm 0.500 0.000 0.904
3 Sm 0.000 0.500 0.904
4 Sm 0.500 0.000 0.500
5 Sm 0.000 0.500 0.701
6 Sm 0.500 0.000 0.299
7 Sm 0.500 0.000 0.096
8 Sm 0.000 0.500 0.096
9 Sm 0.500 0.500 0.601
10 Sm 0.500 0.500 0.198
11 Sm 0.000 0.500 0.299
12 Sm 0.500 0.000 0.701
13 Sm 0.500 0.500 0.399
14 Sm 0.500 0.500 0.802
15 Sm 0.500 0.500 0.000
16 La 0.000 0.000 0.400
17 La 0.000 0.000 0.199
18 La 0.000 0.000 0.801
19 La 0.000 0.000 0.600
20 Th 0.000 0.000 0.000

---

Question: Which of these has the highest D(E_F)?
Answer: La4Sm15Th